BaDyPa2O8: optimized geometry, PBE.

Unit cell a=5.5920 b=5.5920 c=6.7582 alpha=114.44 beta=114.44 gamma=90.00
Last column: nearest neighbours and their distance in Å.
Atoms (fractional coordinates):
Pa1 0.5000 0.5000 0.0000  8 O 2.33
Pa2 0.2500 0.7500 0.5000  8 O 2.31-2.32
O1 0.6043 0.6457 0.7622  2 Pa 2.31-2.33, 1 Dy 2.41, 1 O 2.50, 1 Ba 2.58
O2 0.1579 0.1165 0.7622  2 Pa 2.31-2.33, 1 Dy 2.41, 1 O 2.50, 1 Ba 2.58
O3 0.1584 0.6456 0.7635  2 Pa 2.32-2.33, 1 Dy 2.41, 1 O 2.50, 1 Ba 2.58
O4 0.3544 0.3949 0.2365  2 Pa 2.32-2.33, 1 Dy 2.41, 1 O 2.50, 1 Ba 2.58
O5 0.8821 0.8416 0.2365  2 Pa 2.32-2.33, 1 Dy 2.41, 1 O 2.50, 1 Ba 2.58
O6 0.3543 0.8421 0.2378  2 Pa 2.31-2.33, 1 Dy 2.41, 1 O 2.50, 1 Ba 2.58
O7 0.8835 0.3957 0.2378  2 Pa 2.31-2.33, 1 Dy 2.41, 1 O 2.50, 1 Ba 2.58
O8 0.6051 0.1179 0.7635  2 Pa 2.32-2.33, 1 Dy 2.41, 1 O 2.50, 1 Ba 2.58
Ba1 0.7500 0.2500 0.5000  8 O 2.58
Dy1 0.0000 0.0000 0.0000  8 O 2.41

## Properties
total moment: 0.0622 μB/atom
uncorrected energy: -8.68 eV/atom
crystal system: tetragonal

---

Ba2DyPbO6: optimized geometry, PBE.

Unit cell a=6.2331 b=6.1659 c=8.7420 alpha=90.00 beta=90.21 gamma=90.00
Last column: nearest neighbours and their distance in Å.
Atoms (fractional coordinates):
Ba1 0.9945 0.0064 0.7510  6 O 2.75-3.05
Ba2 0.5055 0.5064 0.7490  6 O 2.75-3.05
Ba3 0.0055 0.9936 0.2490  6 O 2.75-3.05
Ba4 0.4945 0.4936 0.2510  6 O 2.75-3.05
O1 0.7537 0.7593 0.5356  1 Pb 2.19, 1 Dy 2.24
O2 0.9350 0.5042 0.2469  1 Pb 2.20, 1 Dy 2.25
O3 0.2463 0.2407 0.4644  1 Pb 2.19, 1 Dy 2.24
O4 0.7608 0.7551 0.9645  1 Pb 2.19, 1 Dy 2.24
O5 0.2392 0.2449 0.0355  1 Pb 2.19, 1 Dy 2.24
O6 0.4350 0.9958 0.7469  1 Pb 2.20, 1 Dy 2.25
O7 0.5650 0.0042 0.2531  1 Pb 2.20, 1 Dy 2.25
O8 0.7463 0.2593 0.9644  1 Pb 2.19, 1 Dy 2.24
O9 0.7392 0.2551 0.5355  1 Pb 2.19, 1 Dy 2.24
O10 0.2608 0.7449 0.4645  1 Pb 2.19, 1 Dy 2.24
O11 0.2537 0.7407 0.0356  1 Pb 2.19, 1 Dy 2.24
O12 0.0650 0.4958 0.7531  1 Pb 2.20, 1 Dy 2.25
Pb1 0.0000 0.5000 0.0000  6 O 2.19-2.20
Pb2 0.5000 0.0000 0.5000  6 O 2.19-2.20
Dy1 0.0000 0.5000 0.5000  6 O 2.24-2.25
Dy2 0.5000 0.0000 0.0000  6 O 2.24-2.25

## Properties
total moment: 0.1051 μB/atom
uncorrected energy: -6.42 eV/atom
crystal system: monoclinic

---

Ba2DyPb2O6: optimized geometry, PBE.

Unit cell a=6.4780 b=6.2032 c=7.2315 alpha=113.59 beta=90.00 gamma=121.48
Last column: nearest neighbours and their distance in Å.
Atoms (fractional coordinates):
Ba1 0.2926 0.5853 0.8665  5 O 2.57-2.83
Ba2 0.7074 0.4147 0.1335  5 O 2.57-2.83
O1 0.6717 0.8553 0.2323  1 Pb 2.23, 1 Dy 2.33
O2 0.8164 0.1447 0.7677  1 Pb 2.23, 1 Dy 2.33
O3 0.3283 0.1447 0.7677  1 Pb 2.23, 1 Dy 2.33
O4 0.7139 0.4278 0.4932  1 Pb 2.15, 1 Dy 2.29
O5 0.1836 0.8553 0.2323  1 Pb 2.23, 1 Dy 2.33
O6 0.2861 0.5722 0.5068  1 Pb 2.15, 1 Dy 2.29
Pb1 0.0732 0.1465 0.2472  3 O 2.15-2.23
Pb2 0.9268 0.8535 0.7528  3 O 2.15-2.23
Dy1 0.5000 0.0000 0.5000  6 O 2.29-2.33

## Properties
total moment: 0.0001 μB/atom
uncorrected energy: -6.19 eV/atom
crystal system: monoclinic

---

| no. | raw formation energy (meV/atom) | V (Å³ per atom) |
| --- | --- | --- |
| 1 | -3252 | 14.28 |
| 2 | -2233 | 16.80 |
| 3 | -2039 | 19.90 |